Record 1
Al2AgSn2: relaxed, PBE.

The calculation puts the total DFT energy (no corrections) at -3.54 eV per atom. For the calculated formation energy, the calculation gives 0.7 eV per formula unit. The value obtained for the energy above the lowest structure with this stoichiometry is 0.000 eV/atom.

The space group is P4/mbm (No. 127) and the conventional cell measures 7.091, 7.091 and 4.373 Å, with angles of 90.00, 90.00 and 90.00 degrees. The asymmetric unit holds Al at (0.133, 0.367, 0.000), Ag at (0.000, 0.000, 0.000) and Sn at (0.178, 0.678, 0.500).

=====

Record 2
Al2Ag6Sn: relaxed, PBE.

The calculation puts the total DFT energy (no corrections) at -3.13 eV per atom. For the calculated formation energy, the calculation gives 0.4 eV per formula unit. The value obtained for the energy above the lowest structure with this stoichiometry is 0.030 eV/atom.

The space group is C2/m (No. 12) and the conventional cell measures 13.291, 8.430 and 3.029 Å, with angles of 90.00, 96.27 and 90.00 degrees. The asymmetric unit holds Al at (0.163, 0.000, 0.139), Ag at (0.000, 0.168, 0.500), Ag at (0.178, 0.330, 0.215) and Sn at (0.000, 0.500, 0.000).

=====

Record 3
Al2Ag2Sn: relaxed, PBE.

The calculation puts the total DFT energy (no corrections) at -3.37 eV per atom. For the calculated formation energy, the calculation gives 0.3 eV per formula unit. The value obtained for the energy above the lowest structure with this stoichiometry is 0.007 eV/atom.

The space group is P4/mbm (No. 127) and the conventional cell measures 8.272, 8.272 and 2.863 Å, with angles of 90.00, 90.00 and 90.00 degrees. The asymmetric unit holds Al at (0.122, 0.378, 0.000), Ag at (0.173, 0.673, 0.500) and Sn at (0.000, 0.000, 0.000).

=====

Record 4
AlAg2Sn2: relaxed, PBE.

The calculation puts the total DFT energy (no corrections) at -3.27 eV per atom. For the calculated formation energy, the calculation gives 1.1 eV per formula unit. The value obtained for the energy above the lowest structure with this stoichiometry is 0.080 eV/atom.

The space group is P4/mbm (No. 127) and the conventional cell measures 8.638, 8.638 and 3.063 Å, with angles of 90.00, 90.00 and 90.00 degrees. The asymmetric unit holds Al at (0.000, 0.000, 0.000), Ag at (0.124, 0.376, 0.500) and Sn at (0.172, 0.672, 0.000).

=====

Record 5
Al3AgSn: relaxed, PBE.

The calculation puts the total DFT energy (no corrections) at -3.16 eV per atom. For the calculated formation energy, the calculation gives 2.3 eV per formula unit. The value obtained for the energy above the lowest structure with this stoichiometry is 0.000 eV/atom.

The space group is Pm-3m (No. 221) and the conventional cell measures 4.920, 4.920 and 4.920 Å, with angles of 90.00, 90.00 and 90.00 degrees. The asymmetric unit holds Al at (0.000, 0.000, 0.500), Ag at (0.000, 0.000, 0.000) and Sn at (0.500, 0.500, 0.500).

=====

Record 6
Al2Ag8Sn: relaxed, PBE.

The calculation puts the total DFT energy (no corrections) at -3.07 eV per atom. For the calculated formation energy, the calculation gives 0.6 eV per formula unit. The value obtained for the energy above the lowest structure with this stoichiometry is 0.074 eV/atom.

The space group is C2/m (No. 12) and the conventional cell measures 7.477, 12.648 and 4.815 Å, with angles of 90.00, 114.28 and 90.00 degrees. The asymmetric unit holds Al at (0.000, 0.193, 0.000), Ag at (0.000, 0.277, 0.500), Ag at (0.094, 0.000, 0.306), Ag at (0.211, 0.380, 0.129) and Sn at (0.000, 0.500, 0.500).